1.
This record from Alexandria describes a relaxed structure of Pu2Al4ZnCu3. The functional is PBE-GGA.

## Properties
The energy relative to the elements is -0.200 eV per atom. The size of the total moment comes out at 11.23 μB/cell. Its total energy is -5.9198 eV/atom.

Cell: 4.195 4.195 10.236 Å, 90.00 90.00 90.00°
Fractional coordinates of all 10 atoms:
Pu: 0.000 0.500 0.249
Pu: 0.500 0.000 0.751
Al: 0.000 0.000 0.500
Al: 0.000 0.500 0.862
Al: 0.500 0.000 0.138
Al: 0.500 0.500 0.500
Zn: 0.500 0.500 0.000
Cu: 0.000 0.000 0.000
Cu: 0.000 0.500 0.628
Cu: 0.500 0.000 0.372



2.
This record from Alexandria describes a relaxed structure of SrCaGdTl. The functional is PBE-GGA.

## Properties
The energy relative to the elements is -0.065 eV per atom. The size of the total moment comes out at 29.65 μB/cell. Its total energy is -5.0972 eV/atom.

Cell: 8.181 8.181 8.181 Å, 90.00 90.00 90.00°
Fractional coordinates of all 16 atoms:
Sr: 0.000 0.000 0.000
Sr: 0.000 0.500 0.500
Sr: 0.500 0.000 0.500
Sr: 0.500 0.500 0.000
Ca: 0.250 0.250 0.750
Ca: 0.250 0.750 0.250
Ca: 0.750 0.250 0.250
Ca: 0.750 0.750 0.750
Gd: 0.000 0.000 0.500
Gd: 0.000 0.500 0.000
Gd: 0.500 0.000 0.000
Gd: 0.500 0.500 0.500
Tl: 0.250 0.250 0.250
Tl: 0.250 0.750 0.750
Tl: 0.750 0.250 0.750
Tl: 0.750 0.750 0.250



3.
This record from Alexandria describes a relaxed structure of KLa2Mo2N6. The functional is PBE-GGA.

## Properties
The size of the total moment comes out at 1.06 μB/cell. The value obtained for the formation energy (no corrections) is -564 meV per atom. Its total energy is -8.0702 eV/atom.

Cell: 6.407 6.792 6.864 Å, 94.80 115.76 115.59°
Fractional coordinates of all 11 atoms:
K: 0.000 0.000 0.000
La: 0.382 0.679 0.287
La: 0.618 0.321 0.713
Mo: 0.228 0.684 0.687
Mo: 0.772 0.316 0.313
N: 0.127 0.674 0.904
N: 0.267 0.904 0.546
N: 0.466 0.596 0.702
N: 0.534 0.404 0.298
N: 0.733 0.096 0.454
N: 0.873 0.326 0.096



4.
This record from Alexandria describes a relaxed structure of MgMoPd. The functional is PBE-GGA.

## Properties
The energy above the lowest structure with this stoichiometry is 64 kJ/mol of formula units. The energy relative to the elements is 0.013 eV per atom. The size of the total moment comes out at 0.00 μB/cell. Its total energy is -5.8601 eV/atom.

Cell: 4.640 4.640 5.172 Å, 90.00 90.00 120.00°
Fractional coordinates of all 6 atoms:
Mg: 0.333 0.667 0.250
Mg: 0.667 0.333 0.750
Mo: 0.000 0.000 0.000
Mo: 0.000 0.000 0.500
Pd: 0.333 0.667 0.750
Pd: 0.667 0.333 0.250



- Which value of size of the total moment does entry 1 give?
  11.23 μB/cell



- The lowest size of the total moment belongs to which entry?
  MgMoPd